GGA+U SrWO2, relaxed; SG = Cm (8); DOS at the Fermi energy = 1.808 states/eV per cell; E above lowest polymorph = 0.1349 eV per atom
1.0
-3.2136 -4.9488 3.1780
2.1523 0.1483 2.4074
-4.5086 13.0641 3.2259
W Sr O
4 4 8
direct
0.7688 0.0000 0.9088
0.7439 0.0000 0.5629
0.7439 0.5000 0.0629
0.7688 0.5000 0.4088
0.2695 0.5000 0.0906
0.2695 0.0000 0.5906
0.2166 0.5000 0.8217
0.2166 0.0000 0.3217
0.0323 0.5000 0.1829
0.5473 0.5000 0.5779
0.4867 0.0000 0.7932
0.0751 0.5000 0.4260
0.0751 0.0000 0.9260
0.4867 0.5000 0.2932
0.5473 0.0000 0.0779
0.0323 0.0000 0.6829